Below is crystalline InMoRu at its relaxed geometry, with properties calculated at the GGA-PBE level.

Calculated values
E_tot in eV per cell: -90.276

Cell: 4.298 11.162 4.216 Å, 90.00 90.00 90.00°
Space group Cmmm (No. 65)
Unique sites:
In 0.000 0.000 0.000 [2 per cell]
In 0.000 0.500 0.500 [2 per cell]
Mo 0.000 0.185 0.500 [4 per cell]
Ru 0.000 0.321 0.000 [4 per cell]

---

Below is crystalline Sr2MgSn3Pd4 at its relaxed geometry, with properties calculated at the GGA-PBE level.

Calculated values
E_tot in eV per cell: -44.937

Cell: 4.688 4.688 10.701 Å, 90.00 90.00 90.00°
Space group P-4m2 (No. 115)
Unique sites:
Sr 0.000 0.500 0.242 [2 per cell]
Mg 0.000 0.000 0.500 [1 per cell]
Sn 0.000 0.500 0.877 [2 per cell]
Sn 0.500 0.500 0.500 [1 per cell]
Pd 0.000 0.000 0.000 [1 per cell]
Pd 0.000 0.500 0.628 [2 per cell]
Pd 0.500 0.500 0.000 [1 per cell]

---

Below is crystalline Ca2ZnGe4Pt3 at its relaxed geometry, with properties calculated at the GGA-PBE level.

Calculated values
E_tot in eV per cell: -48.820

Cell: 4.291 4.291 10.487 Å, 90.00 90.00 90.00°
Space group P-4m2 (No. 115)
Unique sites:
Ca 0.000 0.500 0.248 [2 per cell]
Zn 0.500 0.500 0.000 [1 per cell]
Ge 0.000 0.000 0.500 [1 per cell]
Ge 0.000 0.500 0.864 [2 per cell]
Ge 0.500 0.500 0.500 [1 per cell]
Pt 0.000 0.000 0.000 [1 per cell]
Pt 0.000 0.500 0.627 [2 per cell]

---

Below is crystalline AgHg2Os at its relaxed geometry, with properties calculated at the GGA-PBE level.

Calculated values
E_tot in eV per cell: -23.617

Cell: 9.472 2.857 5.586 Å, 90.00 98.56 90.00°
Space group C2/m (No. 12)
Unique sites:
Ag 0.000 0.000 0.000 [2 per cell]
Hg 0.246 0.000 0.743 [4 per cell]
Os 0.000 0.500 0.500 [2 per cell]

---

Below is crystalline Tl2PO2F4 at its relaxed geometry, with properties calculated at the GGA-PBE level.

Calculated values
Raw formation energy in eV/atom: -1.829

Cell: 10.953 5.361 5.360 Å, 90.00 119.15 90.00°
Space group C2/m (No. 12)
Unique sites:
Tl 0.250 0.000 0.250 [4 per cell]
P 0.000 0.000 0.500 [2 per cell]
O 0.174 0.000 0.674 [4 per cell]
F 0.000 0.224 0.276 [8 per cell]

---

Below is crystalline MnZnH3 at its relaxed geometry, with properties calculated at the GGA-PBE level.

Calculated values
E_tot in eV per cell: -17.504

Cell: 3.542 3.542 3.542 Å, 90.00 90.00 90.00°
Space group Pm-3m (No. 221)
Unique sites:
Mn 0.000 0.000 0.000 [1 per cell]
Zn 0.500 0.500 0.500 [1 per cell]
H 0.000 0.500 0.500 [3 per cell]